# Mg3Cd PBE-GGA optimized geometry
# VASP energy, eV/f.u.: -5.76
# V, Å³ per cell: 348.5
data_Mg3Cd
_cell_length_a 6.270
_cell_length_b 10.855
_cell_length_c 5.121
_cell_angle_alpha 90.00
_cell_angle_beta 90.00
_cell_angle_gamma 90.00
_symmetry_space_group_name_H-M 'C m c m'
_symmetry_Int_Tables_number 63
_symmetry_space_group_name_Hall '-C 2c 2'
loop_
_atom_site_label
_atom_site_type_symbol
_atom_site_fract_x
_atom_site_fract_y
_atom_site_fract_z
Mg1 Mg 0.000 0.084 0.250
Mg2 Mg 0.249 0.337 0.250
Cd1 Cd 0.000 0.409 0.750

# AlCoReNi PBE-GGA optimized geometry
# Offset from the most stable computed form, kcal/mol of atoms: 0.00
# V, Å³ per cell: 199.0
data_AlCoReNi
_cell_length_a 5.839
_cell_length_b 5.839
_cell_length_c 5.839
_cell_angle_alpha 90.00
_cell_angle_beta 90.00
_cell_angle_gamma 90.00
_symmetry_space_group_name_H-M 'F -4 3 m'
_symmetry_Int_Tables_number 216
_symmetry_space_group_name_Hall 'F -4 2 3'
loop_
_atom_site_label
_atom_site_type_symbol
_atom_site_fract_x
_atom_site_fract_y
_atom_site_fract_z
Al1 Al 0.000 0.000 0.000
Co1 Co 0.250 0.250 0.250
Re1 Re 0.000 0.000 0.500
Ni1 Ni 0.250 0.250 0.750

# SmScOs PBE-GGA optimized geometry
# Offset from the most stable computed form, kcal/mol of atoms: 7.14
# V, Å³ per cell: 282.2
# Formation energy from the elements, eV/atom: 0.822
data_SmScOs
_cell_length_a 6.559
_cell_length_b 6.559
_cell_length_c 6.559
_cell_angle_alpha 90.00
_cell_angle_beta 90.00
_cell_angle_gamma 90.00
_symmetry_space_group_name_H-M 'F -4 3 m'
_symmetry_Int_Tables_number 216
_symmetry_space_group_name_Hall 'F -4 2 3'
loop_
_atom_site_label
_atom_site_type_symbol
_atom_site_fract_x
_atom_site_fract_y
_atom_site_fract_z
Sm1 Sm 0.000 0.000 0.000
Sc1 Sc 0.250 0.250 0.250
Os1 Os 0.250 0.250 0.750

# Tl2Hg2O5 PBE-GGA optimized geometry
# Offset from the most stable computed form, kcal/mol of atoms: 0.00
# V, Å³ per cell: 145.0
data_Tl2Hg2O5
_cell_length_a 4.066
_cell_length_b 4.066
_cell_length_c 8.769
_cell_angle_alpha 90.00
_cell_angle_beta 90.00
_cell_angle_gamma 90.00
_symmetry_space_group_name_H-M 'P 4/m m m'
_symmetry_Int_Tables_number 123
_symmetry_space_group_name_Hall '-P 4 2'
loop_
_atom_site_label
_atom_site_type_symbol
_atom_site_fract_x
_atom_site_fract_y
_atom_site_fract_z
Tl1 Tl 0.000 0.000 0.000
Tl2 Tl 0.000 0.000 0.500
Hg1 Hg 0.500 0.500 0.242
O1 O 0.000 0.500 0.154
O2 O 0.500 0.500 0.500